Compound: KCuF4
Source: Alexandria
Functional: PBE
Structure: relaxed

## Properties
**SG**: No. 137
**Total magnetization**: 4.000 μB per cell
**Formation energy (no corrections)**: -1731 meV/atom

The structure in POSCAR format:
```
KCuF4
1.0
-5.358 -1.326 0.505
0.634 -0.474 5.486
-1.662 7.020 0.799
K Cu F
2 2 8
direct
0.000 0.000 0.500
0.500 0.500 0.000
0.000 0.000 0.000
0.500 0.500 0.500
0.240 0.000 0.172
0.760 0.000 0.172
0.000 0.760 0.828
0.000 0.240 0.828
0.500 0.260 0.672
0.740 0.500 0.328
0.260 0.500 0.328
0.500 0.740 0.672
```



Compound: BaMgRh
Source: Alexandria
Functional: PBE
Structure: relaxed

## Properties
**SG**: No. 44
**DFT formation energy**: -10.6 kJ/mol of atoms
**Total magnetization**: 0.000 μB per cell

The structure in POSCAR format:
```
BaMgRh
1.0
-2.841 5.361 1.995
-4.922 1.074 3.925
5.576 -2.931 -1.049
Ba Mg Rh
1 1 1
direct
0.010 0.010 0.000
0.282 0.282 0.000
0.708 0.708 0.000
```



Compound: CsSn2S2
Source: Alexandria
Functional: PBE
Structure: relaxed

## Properties
**SG**: No. 12
**Total magnetization**: 0.000 μB per cell
**Formation energy (no corrections)**: -625 meV/atom

The structure in POSCAR format:
```
CsSn2S2
1.0
-2.282 -1.340 -2.719
2.264 -4.150 2.793
-7.271 2.386 4.925
Cs Sn S
1 2 2
direct
0.000 0.000 0.000
0.851 0.703 0.427
0.149 0.297 0.573
0.341 0.681 0.233
0.659 0.319 0.767
```



Compound: FeSi2Pt
Source: Alexandria
Functional: PBE
Structure: relaxed

## Properties
**SG**: No. 99
**Total magnetization**: 1.156 μB per cell
**Formation energy (no corrections)**: -424 meV/atom

The structure in POSCAR format:
```
FeSi2Pt
1.0
3.220 0.000 0.000
0.000 3.220 0.000
0.000 0.000 5.092
Fe Pt Si
1 1 2
direct
0.000 0.000 0.439
0.500 0.500 0.789
0.000 0.000 0.986
0.500 0.500 0.286
```



Compound: Pm3Sm3TlZn2
Source: Alexandria
Functional: PBE
Structure: relaxed

## Properties
**SG**: No. 189
**DFT formation energy**: -13.8 kJ/mol of atoms
**Total magnetization**: 0.000 μB per cell

The structure in POSCAR format:
```
Pm3Sm3TlZn2
1.0
3.835 0.000 0.000
0.000 8.840 0.000
0.000 -4.420 7.656
Pm Sm Tl Zn
3 3 1 2
direct
0.500 0.702 0.000
0.500 0.000 0.702
0.500 0.298 0.298
0.000 0.619 0.619
0.000 0.000 0.381
0.000 0.381 0.000
0.000 0.000 0.000
0.500 0.667 0.333
0.500 0.333 0.667
```



Compound: Sc2MoW
Source: Alexandria
Functional: PBE
Structure: relaxed

## Properties
**Distance to the lowest polymorph of the same formula**: 74 meV per atom
**SG**: No. 44
**DFT formation energy**: 10.1 kJ/mol of atoms
**Total magnetization**: 0.000 μB per cell

The structure in POSCAR format:
```
Sc2MoW
1.0
-4.705 2.128 2.202
-0.848 -0.844 5.484
3.427 2.221 -3.852
Mo Sc W
1 2 1
direct
0.276 0.776 0.500
0.015 0.015 0.000
0.740 0.240 0.500
0.469 0.469 0.000
```



Compound: CaErHgSb
Source: Alexandria
Functional: PBE
Structure: relaxed

## Properties
**SG**: No. 216
**Total magnetization**: 0.000 μB per cell
**Formation energy (no corrections)**: -594 meV/atom

The structure in POSCAR format:
```
CaErHgSb
1.0
-3.543 3.214 2.361
-0.965 -0.474 5.225
1.663 3.783 3.374
Sb Ca Hg Er
1 1 1 1
direct
0.250 0.250 0.250
0.500 0.500 0.500
0.750 0.750 0.750
0.000 0.000 0.000
```



Compound: ZnCu2Hg
Source: Alexandria
Functional: PBE
Structure: relaxed

## Properties
**SG**: No. 166
**DFT formation energy**: 15.1 kJ/mol of atoms
**Total magnetization**: 0.000 μB per cell

The structure in POSCAR format:
```
ZnCu2Hg
1.0
-3.063 -8.078 2.498
-0.331 -8.391 3.219
-2.144 -7.147 5.021
Cu Hg Zn
2 1 1
direct
0.007 0.007 0.007
0.493 0.493 0.493
0.250 0.250 0.250
0.750 0.750 0.750
```



Compound: Y2Cd2Hg3
Source: Alexandria
Functional: PBE
Structure: relaxed

## Properties
**SG**: No. 2
**DFT formation energy**: -29.7 kJ/mol of atoms
**Total magnetization**: 0.000 μB per cell

The structure in POSCAR format:
```
Y2Cd2Hg3
1.0
4.834 -0.092 -1.919
-2.680 4.430 0.008
-1.178 -0.708 8.808
Y Cd Hg
2 2 3
direct
0.843 0.422 0.168
0.157 0.578 0.832
0.445 0.223 0.402
0.555 0.777 0.598
0.000 0.000 0.000
0.363 0.181 0.723
0.637 0.819 0.277
```



Compound: BaB11
Source: Alexandria
Functional: PBE
Structure: relaxed

## Properties
**SG**: No. 74
**DFT formation energy**: 30.6 kJ/mol of atoms
**Total magnetization**: 0.000 μB per cell

The structure in POSCAR format:
```
BaB11
1.0
0.357 5.119 3.250
5.619 0.330 4.537
6.109 3.757 -0.913
Ba B
2 22
direct
0.305 0.000 0.000
0.445 0.500 0.500
0.309 0.947 0.465
0.721 0.053 0.535
0.793 0.000 0.000
0.957 0.500 0.500
0.375 0.750 0.750
0.875 0.750 0.250
0.875 0.250 0.750
0.875 0.250 0.250
0.309 0.465 0.947
0.861 0.732 0.006
0.599 0.268 0.994
0.721 0.535 0.053
0.889 0.494 0.768
0.151 0.506 0.232
0.029 0.447 0.965
0.441 0.553 0.035
0.441 0.035 0.553
0.889 0.768 0.494
0.151 0.232 0.506
0.029 0.965 0.447
0.861 0.006 0.732
0.599 0.994 0.268
```



Compound: TbNdYEr2
Source: Alexandria
Functional: PBE
Structure: relaxed

## Properties
**SG**: No. 63
**DFT formation energy**: 36.2 kJ/mol of atoms
**Total magnetization**: 0.001 μB per cell

The structure in POSCAR format:
```
TbNdYEr2
1.0
7.194 0.000 0.000
0.000 8.365 0.000
0.000 -4.183 5.746
Tb Nd Y Er
2 2 2 4
direct
0.250 0.989 0.977
0.750 0.011 0.023
0.250 0.721 0.442
0.750 0.279 0.558
0.750 0.729 0.458
0.250 0.271 0.542
0.500 0.311 0.000
0.000 0.689 0.000
0.500 0.689 0.000
0.000 0.311 0.000
```



Compound: Nd2YTl2
Source: Alexandria
Functional: PBE
Structure: relaxed

## Properties
**Distance to the lowest polymorph of the same formula**: 34 meV per atom
**SG**: No. 71
**DFT formation energy**: -28.5 kJ/mol of atoms
**Total magnetization**: 0.000 μB per cell

The structure in POSCAR format:
```
Nd2YTl2
1.0
4.956 0.000 0.000
2.478 5.661 -0.151
2.478 1.370 5.495
Nd Y Tl
2 1 2
direct
0.191 0.309 0.309
0.809 0.691 0.691
0.000 0.000 0.000
0.500 0.280 0.720
0.500 0.720 0.280
```



Compound: DyY4Zn5
Source: Alexandria
Functional: PBE
Structure: relaxed

## Properties
**SG**: No. 123
**DFT formation energy**: -34.3 kJ/mol of atoms
**Total magnetization**: 0.000 μB per cell

The structure in POSCAR format:
```
DyY4Zn5
1.0
-0.298 -1.033 -3.414
0.084 -3.427 1.029
-17.822 0.025 1.546
Dy Y Zn
1 4 5
direct
0.000 0.000 0.000
0.000 0.000 0.199
0.000 0.000 0.400
0.000 0.000 0.600
0.000 0.000 0.801
0.500 0.500 0.099
0.500 0.500 0.300
0.500 0.500 0.500
0.500 0.500 0.700
0.500 0.500 0.901
```



Compound: SrFe2Pt2
Source: Alexandria
Functional: PBE
Structure: relaxed

## Properties
**SG**: No. 139
**DFT formation energy**: -14.3 kJ/mol of atoms
**Total magnetization**: 6.384 μB per cell

The structure in POSCAR format:
```
SrFe2Pt2
1.0
-3.587 1.906 1.810
1.762 -0.528 4.049
1.222 5.047 2.568
Sr Fe Pt
1 2 2
direct
0.000 0.000 0.000
0.377 0.377 0.247
0.623 0.623 0.753
0.750 0.250 0.500
0.250 0.750 0.500
```



Compound: ThBrCl3
Source: Alexandria
Functional: PBE
Structure: relaxed

## Properties
**Distance to the lowest polymorph of the same formula**: 0 meV per atom
**SG**: No. 63
**Total magnetization**: 0.000 μB per cell
**Formation energy (no corrections)**: -2002 meV/atom

The structure in POSCAR format:
```
ThBrCl3
1.0
5.552 0.000 0.000
-2.776 7.905 0.000
0.000 0.000 8.677
Th Br Cl
2 2 6
direct
0.553 0.107 0.250
0.447 0.893 0.750
0.726 0.452 0.250
0.274 0.548 0.750
0.595 0.189 0.935
0.405 0.811 0.065
0.595 0.189 0.565
0.405 0.811 0.435
0.042 0.084 0.250
0.958 0.916 0.750
```



Compound: KNbAl3
Source: Alexandria
Functional: PBE
Structure: relaxed

## Properties
**Distance to the lowest polymorph of the same formula**: 1612 meV per atom
**SG**: No. 221
**DFT formation energy**: 198.5 kJ/mol of atoms
**Total magnetization**: 1.940 μB per cell

The structure in POSCAR format:
```
KNbAl3
1.0
-2.199 -1.429 4.291
4.517 -0.459 2.162
-0.222 4.800 1.484
Nb K Al
1 1 3
direct
0.500 0.500 0.500
0.000 0.000 0.000
0.000 0.500 0.000
0.000 0.000 0.500
0.500 0.000 0.000
```



Compound: Ca2NdSm
Source: Alexandria
Functional: PBE
Structure: relaxed

## Properties
**Distance to the lowest polymorph of the same formula**: 60 meV per atom
**SG**: No. 166
**DFT formation energy**: 9.5 kJ/mol of atoms
**Total magnetization**: 0.000 μB per cell

The structure in POSCAR format:
```
Ca2NdSm
1.0
3.711 0.000 0.000
1.856 3.214 0.000
1.856 1.071 12.433
Ca Nd Sm
2 1 1
direct
0.250 0.250 0.249
0.750 0.750 0.751
0.500 0.500 0.500
0.000 0.000 0.000
```



Compound: CsYTaNi2
Source: Alexandria
Functional: PBE
Structure: relaxed

## Properties
**SG**: No. 123
**DFT formation energy**: 165.7 kJ/mol of atoms
**Total magnetization**: 2.031 μB per cell

The structure in POSCAR format:
```
CsYTaNi2
1.0
-3.309 3.915 0.642
-1.421 -1.979 4.744
3.721 2.773 2.271
Cs Y Ni Ta
1 1 2 1
direct
0.500 0.500 0.500
0.000 0.000 0.000
0.000 0.000 0.500
0.500 0.000 0.000
0.000 0.500 0.000
```



Compound: BeNb2Co
Source: Alexandria
Functional: PBE
Structure: relaxed

## Properties
**SG**: No. 122
**DFT formation energy**: 36.6 kJ/mol of atoms
**Total magnetization**: 0.000 μB per cell

The structure in POSCAR format:
```
BeNb2Co
1.0
-4.172 3.748 -3.871
1.353 -4.010 -5.341
-3.384 -1.660 -3.958
Be Nb Co
2 4 2
direct
0.500 0.500 0.000
0.250 0.750 0.500
0.645 0.125 0.250
0.105 0.625 0.250
0.375 0.355 0.750
0.875 0.895 0.750
0.000 0.000 0.000
0.750 0.250 0.500
```



Compound: Pm2Y4ErSc
Source: Alexandria
Functional: PBE
Structure: relaxed

## Properties
**SG**: No. 123
**DFT formation energy**: 3.2 kJ/mol of atoms
**Total magnetization**: 0.000 μB per cell

The structure in POSCAR format:
```
Pm2Y4ErSc
1.0
5.020 0.000 0.000
0.000 4.947 0.886
0.000 3.183 10.726
Pm Y Er Sc
2 4 1 1
direct
0.000 0.000 0.000
0.500 0.000 0.500
0.000 0.746 0.754
0.000 0.254 0.246
0.500 0.753 0.246
0.500 0.247 0.754
0.000 0.500 0.500
0.500 0.500 0.000
```



Compound: LaPrTlCu
Source: Alexandria
Functional: PBE
Structure: relaxed

## Properties
**SG**: No. 216
**DFT formation energy**: -20.7 kJ/mol of atoms
**Total magnetization**: 0.271 μB per cell

The structure in POSCAR format:
```
LaPrTlCu
1.0
5.424 0.000 0.000
2.712 4.697 0.000
2.712 1.566 4.428
Pr Tl Cu La
1 1 1 1
direct
0.000 0.000 0.000
0.750 0.750 0.750
0.250 0.250 0.250
0.500 0.500 0.500
```



Compound: HfOs2Ru2
Source: Alexandria
Functional: PBE
Structure: relaxed

## Properties
**Distance to the lowest polymorph of the same formula**: 0 meV per atom
**SG**: No. 127
**DFT formation energy**: -2.1 kJ/mol of atoms
**Total magnetization**: 0.000 μB per cell

The structure in POSCAR format:
```
HfOs2Ru2
1.0
-1.243 6.531 3.484
-3.747 -3.602 5.415
2.383 -0.314 1.440
Hf Os Ru
2 4 4
direct
0.000 0.000 0.000
0.500 0.500 0.000
0.378 0.878 0.000
0.878 0.622 0.000
0.622 0.122 0.000
0.122 0.378 0.000
0.174 0.674 0.500
0.674 0.826 0.500
0.826 0.326 0.500
0.326 0.174 0.500
```



Compound: SiP2C
Source: Alexandria
Functional: PBE
Structure: relaxed

## Properties
**Distance to the lowest polymorph of the same formula**: 96 meV per atom
**SG**: No. 8
**Total magnetization**: 0.000 μB per cell
**Formation energy (no corrections)**: 291 meV/atom

The structure in POSCAR format:
```
SiP2C
1.0
2.911 0.000 0.000
0.000 3.093 0.000
-0.114 0.000 15.506
P Si C
4 2 2
direct
0.481 0.000 0.424
0.481 0.500 0.924
0.990 0.000 0.676
0.990 0.500 0.176
0.986 0.000 0.073
0.986 0.500 0.573
0.483 0.000 0.997
0.483 0.500 0.497
```



Compound: IrRh2Br2
Source: Alexandria
Functional: PBE
Structure: relaxed

## Properties
**Distance to the lowest polymorph of the same formula**: 0 meV per atom
**SG**: No. 127
**Total magnetization**: 0.000 μB per cell
**Formation energy (no corrections)**: 1026 meV/atom

The structure in POSCAR format:
```
IrRh2Br2
1.0
-1.503 0.637 -7.027
6.762 -1.924 -1.620
-0.916 -3.144 -0.089
Ir Rh Br
2 4 4
direct
0.000 0.000 0.000
0.500 0.500 0.000
0.148 0.648 0.500
0.648 0.852 0.500
0.852 0.352 0.500
0.352 0.148 0.500
0.338 0.838 0.000
0.838 0.662 0.000
0.662 0.162 0.000
0.162 0.338 0.000
```



Compound: KInHgS
Source: Alexandria
Functional: PBE
Structure: relaxed

## Properties
**SG**: No. 216
**Total magnetization**: 0.000 μB per cell
**Formation energy (no corrections)**: -382 meV/atom

The structure in POSCAR format:
```
KInHgS
1.0
5.409 0.000 0.000
2.704 4.684 0.000
2.704 1.561 4.416
S K Hg In
1 1 1 1
direct
0.000 0.000 0.000
0.750 0.750 0.750
0.500 0.500 0.500
0.250 0.250 0.250
```



Compound: BaLiAsSe2
Source: Alexandria
Functional: PBE
Structure: relaxed

## Properties
**Distance to the lowest polymorph of the same formula**: 852 meV per atom
**SG**: No. 123
**Total magnetization**: 3.206 μB per cell
**Formation energy (no corrections)**: 181 meV/atom

The structure in POSCAR format:
```
BaLiAsSe2
1.0
6.168 0.000 0.000
0.000 6.168 0.000
0.000 0.000 6.255
As Ba Se Li
1 1 2 1
direct
0.000 0.000 0.500
0.000 0.000 0.000
0.000 0.500 0.000
0.500 0.000 0.000
0.500 0.500 0.500
```